[1]
{
  "formula": "CdNiTe4",
  "functional": "GGA-PBEsol",
  "state": "optimized geometry",
  "space_group": "F-43m, No. 216",
  "formation_energy_uncorrected_mev_per_atom": 813,
  "lattice_angstrom": [[6.170, 0.000, 0.000], [3.085, 5.344, 0.000], [3.085, 1.781, 5.038]],
  "species": ["Cd", "Ni", "Te", "Te", "Te", "Te"],
  "frac_coords": [[0.750, 0.750, 0.750], [0.000, 0.000, 0.000], [0.375, 0.375, 0.876], [0.375, 0.876, 0.375], [0.876, 0.375, 0.375], [0.375, 0.375, 0.375]]
}

---

[2]
{
  "formula": "Tl2CdNi",
  "functional": "GGA-PBEsol",
  "state": "optimized geometry",
  "space_group": "P4mm, No. 99",
  "relative_energy_kj_per_mol_atoms": 1.3,
  "formation_enthalpy_0k_ev_per_fu": 0.606,
  "lattice_angstrom": [[3.158, 0.033, 0.000], [-0.034, 3.158, 0.000], [0.000, 0.000, 8.444]],
  "species": ["Tl", "Tl", "Ni", "Cd"],
  "frac_coords": [[0.500, 0.500, 0.735], [0.000, 0.000, 0.064], [0.500, 0.500, 0.261], [0.000, 0.000, 0.439]]
}

---

Question: Which formula does entry 2 have?
Answer: Tl2CdNi